The following is a PBE calculation of an optimized crystal structure of TaNb4Zn, from Alexandria via LeMat-Bulk.

symmetry = No. 123
formation energy = -0.030 eV/atom
total moment = 0.0 μB per formula unit

Structure (POSCAR):
```
TaNb4Zn
1.0
-0.756 -3.199 -0.763
2.937 -1.009 1.321
-4.075 -1.013 8.286
Zn Nb Ta
1 4 1
direct
0.500 0.500 0.500 Zn
0.500 0.500 0.176 Nb
0.000 0.000 0.658 Nb
0.500 0.500 0.824 Nb
0.000 0.000 0.342 Nb
0.000 0.000 0.000 Ta
```

The following is a PBE calculation of an optimized crystal structure of TaNb6Zn, from Alexandria via LeMat-Bulk.

symmetry = No. 200
formation energy = -0.001 eV/atom
total moment = 0.0 μB per formula unit

Structure (POSCAR):
```
TaNb6Zn
1.0
-3.476 4.119 5.107
-4.928 -3.143 4.580
-0.586 -0.259 5.211
Zn Nb Ta
1 6 1
direct
0.000 0.000 0.000 Zn
0.500 0.749 0.751 Nb
0.001 0.500 0.750 Nb
0.749 0.000 0.750 Nb
0.999 0.500 0.250 Nb
0.500 0.251 0.249 Nb
0.251 0.000 0.250 Nb
0.500 0.500 0.500 Ta
```

The following is a PBE calculation of an optimized crystal structure of TaNbZn2, from Alexandria via LeMat-Bulk.

symmetry = No. 225
formation energy = 0.167 eV/atom
total moment = 0.0 μB per formula unit
relative energy among the computed polymorphs = 201 meV/atom

Structure (POSCAR):
```
TaNbZn2
1.0
0.000 3.189 3.189
3.189 0.000 3.189
3.189 3.189 0.000
Zn Ta Nb
2 1 1
direct
0.250 0.250 0.250 Zn
0.750 0.750 0.750 Zn
0.500 0.500 0.500 Ta
0.000 0.000 0.000 Nb
```

The following is a PBE calculation of an optimized crystal structure of TaNbZn3, from Alexandria via LeMat-Bulk.

symmetry = No. 221
formation energy = 1.489 eV/atom
total moment = 0.0 μB per formula unit
relative energy among the computed polymorphs = 0 meV/atom

Structure (POSCAR):
```
TaNbZn3
1.0
4.787 0.000 0.000
0.000 4.787 0.000
0.000 0.000 4.787
Nb Zn Ta
1 3 1
direct
0.500 0.500 0.500 Nb
0.000 0.500 0.000 Zn
0.000 0.000 0.500 Zn
0.500 0.000 0.000 Zn
0.000 0.000 0.000 Ta
```

The following is a PBE calculation of an optimized crystal structure of TaNbZn2, from Alexandria via LeMat-Bulk.

symmetry = No. 123
formation energy = -0.034 eV/atom
total moment = 0.0 μB per formula unit
relative energy among the computed polymorphs = 0 meV/atom

Structure (POSCAR):
```
TaNbZn2
1.0
4.003 0.000 0.000
0.000 4.022 0.000
0.000 0.000 4.022
Zn Ta Nb
2 1 1
direct
0.000 0.500 0.000 Zn
0.000 0.000 0.500 Zn
0.500 0.000 0.000 Ta
0.500 0.500 0.500 Nb
```

The following is a PBE calculation of an optimized crystal structure of TaNb2Zn, from Alexandria via LeMat-Bulk.

symmetry = No. 123
formation energy = -0.037 eV/atom
total moment = 0.0 μB per formula unit

Structure (POSCAR):
```
TaNb2Zn
1.0
-0.964 3.194 0.568
-2.947 -1.110 1.241
2.426 -0.251 5.534
Zn Nb Ta
1 2 1
direct
0.500 0.500 0.000 Zn
0.000 0.000 0.244 Nb
0.000 0.000 0.756 Nb
0.500 0.500 0.500 Ta
```

The following is a PBE calculation of an optimized crystal structure of TaNbZn2, from Alexandria via LeMat-Bulk.

symmetry = No. 122
formation energy = 0.424 eV/atom
total moment = 0.0 μB per formula unit
relative energy among the computed polymorphs = 457 meV/atom

Structure (POSCAR):
```
TaNbZn2
1.0
7.215 0.000 0.000
0.000 7.215 0.000
3.607 3.607 2.672
Nb Zn Ta
2 4 2
direct
0.500 0.500 0.000 Nb
0.250 0.750 0.500 Nb
0.125 0.625 0.250 Zn
0.625 0.125 0.250 Zn
0.375 0.375 0.750 Zn
0.875 0.875 0.750 Zn
0.000 0.000 0.000 Ta
0.750 0.250 0.500 Ta
```

The following is a PBE calculation of an optimized crystal structure of TaNb3Zn, from Alexandria via LeMat-Bulk.

symmetry = No. 221
formation energy = 1.248 eV/atom
total moment = 0.0 μB per formula unit
relative energy among the computed polymorphs = 0 meV/atom

Structure (POSCAR):
```
TaNb3Zn
1.0
4.688 0.000 0.000
0.000 4.688 0.000
0.000 0.000 4.688
Nb Ta Zn
3 1 1
direct
0.000 0.000 0.500 Nb
0.500 0.000 0.000 Nb
0.000 0.500 0.000 Nb
0.500 0.500 0.500 Ta
0.000 0.000 0.000 Zn
```

The following is a PBE calculation of an optimized crystal structure of Ta6Nb2Zn, from Alexandria via LeMat-Bulk.

symmetry = No. 12
formation energy = 0.228 eV/atom
total moment = 0.0 μB per formula unit

Structure (POSCAR):
```
Ta6Nb2Zn
1.0
-1.048 1.996 1.565
-3.867 -4.012 4.936
5.390 -0.450 6.594
Ta Zn Nb
6 1 2
direct
0.387 0.675 0.552 Ta
0.947 0.336 0.769 Ta
0.225 0.658 0.891 Ta
0.775 0.342 0.109 Ta
0.613 0.325 0.448 Ta
0.053 0.664 0.231 Ta
0.000 0.000 0.000 Zn
0.662 0.992 0.683 Nb
0.338 0.008 0.317 Nb
```

The following is a PBE calculation of an optimized crystal structure of TaNb2Zn, from Alexandria via LeMat-Bulk.

symmetry = No. 123
formation energy = 0.005 eV/atom
total moment = 0.0 μB per formula unit

Structure (POSCAR):
```
TaNb2Zn
1.0
-3.392 -0.911 -0.870
1.517 -3.240 -2.522
-0.144 -2.728 3.419
Nb Ta Zn
2 1 1
direct
0.000 0.500 0.000 Nb
0.000 0.000 0.500 Nb
0.500 0.000 0.000 Ta
0.500 0.500 0.500 Zn
```

The following is a PBE calculation of an optimized crystal structure of TaNb6Zn, from Alexandria via LeMat-Bulk.

symmetry = No. 38
formation energy = -0.003 eV/atom
total moment = 0.0 μB per formula unit

Structure (POSCAR):
```
TaNb6Zn
1.0
-1.506 1.077 2.839
3.419 -4.328 3.456
4.723 4.400 0.836
Nb Zn Ta
6 1 1
direct
0.000 0.374 0.626 Nb
0.000 0.372 0.123 Nb
0.000 0.877 0.628 Nb
0.500 0.125 0.376 Nb
0.500 0.125 0.875 Nb
0.500 0.624 0.875 Nb
0.500 0.626 0.374 Zn
0.000 0.877 0.123 Ta
```

The following is a PBE calculation of an optimized crystal structure of Ta3Nb4Zn, from Alexandria via LeMat-Bulk.

symmetry = No. 123
formation energy = -0.020 eV/atom
total moment = 0.0 μB per formula unit

Structure (POSCAR):
```
Ta3Nb4Zn
1.0
3.351 0.000 0.000
0.000 3.351 0.000
0.000 0.000 12.671
Ta Nb Zn
3 4 1
direct
0.500 0.500 0.242 Ta
0.500 0.500 0.500 Ta
0.500 0.500 0.758 Ta
0.000 0.000 0.885 Nb
0.000 0.000 0.630 Nb
0.000 0.000 0.370 Nb
0.000 0.000 0.115 Nb
0.500 0.500 0.000 Zn
```

The following is a PBE calculation of an optimized crystal structure of TaNb2Zn2, from Alexandria via LeMat-Bulk.

symmetry = No. 127
formation energy = 0.045 eV/atom
total moment = 0.0 μB per formula unit

Structure (POSCAR):
```
TaNb2Zn2
1.0
-0.059 -5.441 -4.320
-1.720 -4.175 5.281
-3.369 0.558 -0.656
Zn Nb Ta
4 4 2
direct
0.878 0.622 0.000 Zn
0.378 0.878 0.000 Zn
0.622 0.122 0.000 Zn
0.122 0.378 0.000 Zn
0.179 0.679 0.500 Nb
0.679 0.821 0.500 Nb
0.321 0.179 0.500 Nb
0.821 0.321 0.500 Nb
0.000 0.000 0.000 Ta
0.500 0.500 0.000 Ta
```

The following is a PBE calculation of an optimized crystal structure of TaNb2Zn, from Alexandria via LeMat-Bulk.

symmetry = No. 166
formation energy = 0.250 eV/atom
total moment = 0.0 μB per formula unit

Structure (POSCAR):
```
TaNb2Zn
1.0
3.152 0.000 0.000
1.576 2.729 0.000
1.576 0.910 8.537
Ta Nb Zn
1 2 1
direct
0.500 0.500 0.500 Ta
0.249 0.249 0.254 Nb
0.751 0.751 0.746 Nb
0.000 0.000 0.000 Zn
```

The following is a PBE calculation of an optimized crystal structure of TaNbZn2, from Alexandria via LeMat-Bulk.

symmetry = No. 123
formation energy = -0.027 eV/atom
total moment = 0.0 μB per formula unit
relative energy among the computed polymorphs = 7 meV/atom

Structure (POSCAR):
```
TaNbZn2
1.0
-0.307 -2.478 1.366
2.827 -0.213 0.248
-0.318 3.887 6.979
Ta Zn Nb
1 2 1
direct
0.500 0.500 0.500 Ta
0.000 0.000 0.749 Zn
0.000 0.000 0.251 Zn
0.500 0.500 0.000 Nb
```

The following is a PBE calculation of an optimized crystal structure of TaNb3Zn, from Alexandria via LeMat-Bulk.

symmetry = No. 221
formation energy = 1.462 eV/atom
total moment = 0.0 μB per formula unit
relative energy among the computed polymorphs = 214 meV/atom

Structure (POSCAR):
```
TaNb3Zn
1.0
-3.229 -3.614 -0.695
3.516 -2.756 -2.005
1.089 -1.821 4.413
Nb Zn Ta
3 1 1
direct
0.000 0.000 0.500 Nb
0.000 0.500 0.000 Nb
0.500 0.000 0.000 Nb
0.500 0.500 0.500 Zn
0.000 0.000 0.000 Ta
```

The following is a PBE calculation of an optimized crystal structure of ZrTa5Nb4, from Alexandria via LeMat-Bulk.

symmetry = No. 123
formation energy = 0.024 eV/atom
total moment = 0.0 μB per formula unit

Structure (POSCAR):
```
ZrTa5Nb4
1.0
-2.181 2.269 1.097
0.467 -1.062 3.125
12.513 11.108 1.902
Zr Ta Nb
1 5 4
direct
0.000 0.000 0.000 Zr
0.500 0.500 0.500 Ta
0.500 0.500 0.696 Ta
0.500 0.500 0.887 Ta
0.500 0.500 0.113 Ta
0.500 0.500 0.304 Ta
0.000 0.000 0.403 Nb
0.000 0.000 0.597 Nb
0.000 0.000 0.795 Nb
0.000 0.000 0.205 Nb
```

The following is a PBE calculation of an optimized crystal structure of ZrTa2Nb, from Alexandria via LeMat-Bulk.

symmetry = No. 225
formation energy = 0.108 eV/atom
total moment = 0.0 μB per formula unit
relative energy among the computed polymorphs = 35 meV/atom

Structure (POSCAR):
```
ZrTa2Nb
1.0
0.000 3.376 3.376
3.376 0.000 3.376
3.376 3.376 0.000
Ta Zr Nb
2 1 1
direct
0.750 0.750 0.750 Ta
0.250 0.250 0.250 Ta
0.000 0.000 0.000 Zr
0.500 0.500 0.500 Nb
```

The following is a PBE calculation of an optimized crystal structure of ZrTa4Nb, from Alexandria via LeMat-Bulk.

symmetry = No. 216
formation energy = 0.105 eV/atom
total moment = 0.0 μB per formula unit
relative energy among the computed polymorphs = 32 meV/atom

Structure (POSCAR):
```
ZrTa4Nb
1.0
-3.230 4.369 -0.898
-5.475 -0.591 -0.065
-3.041 2.065 4.100
Nb Ta Zr
1 4 1
direct
0.250 0.250 0.250 Nb
0.625 0.625 0.625 Ta
0.125 0.625 0.625 Ta
0.625 0.125 0.625 Ta
0.625 0.625 0.125 Ta
0.000 0.000 0.000 Zr
```

The following is a PBE calculation of an optimized crystal structure of Zr2TaNb2, from Alexandria via LeMat-Bulk.

symmetry = No. 127
formation energy = 0.337 eV/atom
total moment = 0.0 μB per formula unit

Structure (POSCAR):
```
Zr2TaNb2
1.0
7.206 0.000 0.000
0.000 7.206 0.000
0.000 0.000 4.067
Nb Zr Ta
4 4 2
direct
0.145 0.355 0.000 Nb
0.855 0.645 0.000 Nb
0.645 0.145 0.000 Nb
0.355 0.855 0.000 Nb
0.337 0.163 0.500 Zr
0.837 0.337 0.500 Zr
0.163 0.663 0.500 Zr
0.663 0.837 0.500 Zr
0.500 0.500 0.000 Ta
0.000 0.000 0.000 Ta
```